{
  "formula": "Sr2CrCu",
  "functional": "PBE",
  "state": "optimized geometry",
  "cell": [[-8.414, -2.274, 1.573], [-6.580, -2.254, 5.483], [-7.913, 1.448, 3.704]],
  "species": ["Cr", "Cu", "Sr", "Sr"],
  "frac_coords": [[0.250, 0.250, 0.250], [0.750, 0.750, 0.750], [0.012, 0.012, 0.012], [0.488, 0.488, 0.488]],
  "e_form_ev_per_atom": 0.572,
  "crystal_system": "trigonal",
  "total_magnetization_mub_per_cell": 5.11,
  "rho_g_cm3": 3.5,
  "spacegroup": "R-3m"
}

---

{
  "formula": "SrCrCu2",
  "functional": "PBE",
  "state": "optimized geometry",
  "cell": [[5.390, -0.020, 0.000], [2.158, 4.940, 0.000], [-3.774, -2.460, 2.960]],
  "species": ["Cr", "Cu", "Cu", "Sr"],
  "frac_coords": [[0.750, 0.250, 0.500], [0.000, 0.000, 0.000], [0.250, 0.750, 0.500], [0.500, 0.500, 0.000]],
  "e_form_ev_per_atom": 0.535,
  "crystal_system": "tetragonal",
  "total_magnetization_mub_per_cell": 4.42,
  "rho_g_cm3": 5.6,
  "spacegroup": "I-4m2"
}

---

{
  "formula": "SrCrCu2",
  "functional": "PBE",
  "state": "optimized geometry",
  "cell": [[-2.540, 1.369, 1.693], [-0.958, -3.039, 1.020], [4.097, 0.607, 5.656]],
  "species": ["Cr", "Cu", "Cu", "Sr"],
  "frac_coords": [[0.500, 0.500, 0.828], [0.000, 0.000, 0.011], [0.500, 0.500, 0.181], [0.000, 0.000, 0.479]],
  "e_form_ev_per_atom": 0.457,
  "crystal_system": "tetragonal",
  "total_magnetization_mub_per_cell": 4.05,
  "rho_g_cm3": 5.6,
  "spacegroup": "P4mm"
}